TaPtPbBr2 | PBE-GGA | relaxed

a b c (Å): 5.439 5.439 5.837
angles (deg): 90.00 90.00 90.00
Space group P4/mmm (No. 123)
Symmetry-distinct sites (fractional):
Ta1 0.000 0.000 0.000 [1 per cell]
Pt1 0.500 0.500 0.000 [1 per cell]
Pb1 0.000 0.000 0.500 [1 per cell]
Br1 0.000 0.500 0.500 [2 per cell]

Properties
- Formation energy from raw total energies: 8.158 eV per formula unit

---

RbPmCdBr6 | PBE-GGA | relaxed

a b c (Å): 7.4186 7.4186 15.2109
angles (deg): 90.00 90.00 120.00
Space group P-31c (No. 163)
Symmetry-distinct sites (fractional):
Rb1 0.0000 0.0000 0.0000 [2 per cell]
Pm1 0.3333 0.6667 0.2500 [2 per cell]
Cd1 0.3333 0.6667 0.7500 [2 per cell]
Br1 0.0068 0.3799 0.6409 [12 per cell]

Properties
- Formation energy from raw total energies: -13.711 eV per formula unit